DFT (PBE-GGA) results for an optimized crystal structure of RbAgI3.

abc: 6.5807 7.5182 10.5029
angles: 90.00 108.27 90.00
Fractional positions:
1 I 0.5745 0.9221 0.6595
2 I 0.0687 0.9260 0.1376
3 I 0.9147 0.4220 0.3406
4 I 0.9313 0.4260 0.8624
5 I 0.0853 0.9220 0.6594
6 I 0.4255 0.4221 0.3405
7 Ag 0.0610 0.5506 0.1239
8 Ag 0.9390 0.0506 0.8761
9 Rb 0.3425 0.4293 0.6849
10 Rb 0.6575 0.9293 0.3151

- SG: P2_1, No. 4
- Crystal system: monoclinic
- ΔE_f (raw): -682 meV per atom
- Final energy: -23.762 eV per cell

---

DFT (PBE-GGA) results for an optimized crystal structure of Rb3Ag5I12.

abc: 16.4072 16.4072 16.4072
angles: 109.47 109.47 109.47
Fractional positions:
1 I 0.9220 0.8238 0.8080
2 I 0.1762 0.0982 0.9842
3 I 0.1140 0.6920 0.5158
4 I 0.5158 0.3238 0.9018
5 I 0.8080 0.4842 0.3860
6 I 0.6140 0.0158 0.1920
7 I 0.8860 0.5780 0.9018
8 I 0.4842 0.8080 0.8860
9 I 0.3080 0.8860 0.9842
10 I 0.5780 0.8860 0.4018
11 I 0.0158 0.4018 0.8238
12 I 0.1140 0.4220 0.0982
13 I 0.3860 0.9842 0.8080
14 I 0.3238 0.8080 0.4220
15 I 0.0982 0.1762 0.4842
16 I 0.8238 0.9220 0.3080
17 I 0.3238 0.5158 0.4018
18 I 0.4842 0.6762 0.0982
19 I 0.3080 0.4220 0.8238
20 I 0.4220 0.1140 0.5982
21 I 0.0780 0.1762 0.1920
22 I 0.9842 0.5982 0.1762
23 I 0.6762 0.4842 0.5982
24 I 0.9018 0.0780 0.8860
25 I 0.4018 0.3860 0.5780
26 I 0.5982 0.9842 0.6762
27 I 0.9018 0.8238 0.5158
28 I 0.9842 0.3860 0.3080
29 I 0.6920 0.5780 0.1762
30 I 0.0780 0.9018 0.3860
31 I 0.5780 0.6920 0.6762
32 I 0.8238 0.9018 0.0158
33 I 0.9220 0.0982 0.6140
34 I 0.6140 0.5982 0.9220
35 I 0.8080 0.3238 0.9220
36 I 0.3860 0.4018 0.0780
37 I 0.8860 0.3080 0.4842
38 I 0.1762 0.0780 0.6920
39 I 0.1920 0.5158 0.6140
40 I 0.6920 0.1140 0.0158
41 I 0.0982 0.9220 0.1140
42 I 0.6762 0.1920 0.5780
43 I 0.5158 0.1920 0.1140
44 I 0.0158 0.6140 0.6920
45 I 0.4220 0.3080 0.3238
46 I 0.1920 0.6762 0.0780
47 I 0.4018 0.0158 0.3238
48 I 0.5982 0.6140 0.4220
49 Ag 0.5000 0.0000 0.0000
50 Ag 0.2500 0.8750 0.1250
51 Ag 0.3750 0.2500 0.1250
52 Ag 0.5000 0.5000 0.5000
53 Ag 0.5000 0.0000 0.5000
54 Ag 0.1250 0.3750 0.2500
55 Ag 0.1250 0.7500 0.3750
56 Ag 0.0000 0.5000 0.5000
57 Ag 0.6250 0.7500 0.8750
58 Ag 0.0000 0.0000 0.0000
59 Ag 0.7500 0.1250 0.8750
60 Ag 0.5000 0.5000 0.0000
61 Ag 0.3750 0.1250 0.7500
62 Ag 0.7500 0.6250 0.3750
63 Ag 0.6250 0.8750 0.2500
64 Ag 0.0000 0.0000 0.5000
65 Ag 0.8750 0.6250 0.7500
66 Ag 0.0000 0.5000 0.0000
67 Ag 0.2500 0.3750 0.6250
68 Ag 0.8750 0.2500 0.6250
69 Rb 0.1250 0.2500 0.8750
70 Rb 0.8750 0.1250 0.2500
71 Rb 0.6250 0.2500 0.3750
72 Rb 0.6250 0.3750 0.7500
73 Rb 0.2500 0.1250 0.3750
74 Rb 0.7500 0.3750 0.1250
75 Rb 0.2500 0.6250 0.8750
76 Rb 0.1250 0.8750 0.7500
77 Rb 0.7500 0.8750 0.6250
78 Rb 0.3750 0.6250 0.2500
79 Rb 0.3750 0.7500 0.6250
80 Rb 0.8750 0.7500 0.1250

- SG: Ia-3d, No. 230
- Crystal system: cubic
- ΔE_f (raw): -498 meV per atom
- Final energy: -182.877 eV per cell

---

DFT (PBE-GGA) results for an optimized crystal structure of RbAg2I4.

abc: 7.5552 7.5552 13.1141
angles: 90.00 90.00 127.73
Fractional positions:
1 Ag 0.2747 0.7810 0.5000
2 Ag 0.7253 0.2190 0.5000
3 Ag 0.7810 0.2747 0.0000
4 Ag 0.2190 0.7253 0.0000
5 I 0.3433 0.1661 0.0000
6 I 0.8339 0.6567 0.5000
7 I 0.0000 0.5000 0.1846
8 I 0.5000 0.0000 0.6846
9 I 0.5000 0.0000 0.3154
10 I 0.0000 0.5000 0.8154
11 I 0.1661 0.3433 0.5000
12 I 0.6567 0.8339 0.0000
13 Rb 0.5000 0.5000 0.7500
14 Rb 0.5000 0.5000 0.2500

- SG: Cccm, No. 66
- Crystal system: orthorhombic
- Excess energy over the best structure of this formula in the dataset: 0.0 meV/atom
- ΔE_f (raw): -520 meV per atom
- Final energy: -33.016 eV per cell

---

DFT (PBE-GGA) results for an optimized crystal structure of RbAg5I8.

abc: 9.1257 9.1257 9.1257
angles: 60.00 60.00 60.00
Fractional positions:
1 I 0.8670 0.8670 0.3990
2 I 0.3990 0.8670 0.8670
3 I 0.8670 0.8670 0.8670
4 I 0.3954 0.3954 0.3954
5 I 0.8137 0.3954 0.3954
6 I 0.3954 0.3954 0.8137
7 I 0.8670 0.3990 0.8670
8 I 0.3954 0.8137 0.3954
9 Ag 0.6268 0.6268 0.1197
10 Ag 0.6268 0.1197 0.6268
11 Ag 0.6268 0.6268 0.6268
12 Ag 0.0000 0.0000 0.0000
13 Ag 0.1197 0.6268 0.6268
14 Rb 0.2500 0.2500 0.2500

- SG: F-43m, No. 216
- Crystal system: cubic
- ΔE_f (raw): -238 meV per atom
- Final energy: -30.963 eV per cell